No. 1
Material: LaPmSm
Method: DFT, PBE
State: optimized geometry

```
3
Lattice="-1.841 2.604 5.506 1.841 -2.604 5.506 1.841 2.604 -5.506" Properties=species:S:1:pos:R:3 pbc="T T T"
La 0.000 0.000 0.000
Pm 0.000 0.000 7.351
Sm 0.000 0.000 3.655
```

Values from the calculation:
Space group   No. 44
Calculated total energy   -4.7780 eV/atom
Formation enthalpy at 0 K   0.02 eV per atom
Total moment   0.0 Bohr magnetons per cell
Energy above the lowest structure with this stoichiometry   0.02 eV/f.u.
N(E_F)   5.07 states/eV/cell
V   105.58 Å³/cell


No. 2
Material: LaPmSm2
Method: DFT, PBE
State: optimized geometry

```
4
Lattice="-1.854 3.042 6.159 1.854 -3.042 6.159 1.854 3.042 -6.159" Properties=species:S:1:pos:R:3 pbc="T T T"
La 0.000 0.000 0.000
Pm 0.000 0.000 6.159
Sm 1.854 0.000 3.156
Sm 0.000 3.042 3.002
```

Values from the calculation:
Space group   No. 71
Calculated total energy   -4.6713 eV/atom
Formation enthalpy at 0 K   0.11 eV per atom
Total moment   0.0 Bohr magnetons per cell
Energy above the lowest structure with this stoichiometry   0.38 eV/f.u.
N(E_F)   7.82 states/eV/cell
V   138.93 Å³/cell


No. 3
Material: LaPm15Sm4
Method: DFT, PBE
State: optimized geometry

```
20
Lattice="5.170 0.000 0.000 0.000 5.170 0.000 0.000 0.000 25.829" Properties=species:S:1:pos:R:3 pbc="T T T"
La 0.000 0.000 0.000
Pm 0.000 2.585 2.620
Pm 0.000 2.585 7.764
Pm 0.000 2.585 12.914
Pm 0.000 2.585 18.065
Pm 0.000 2.585 23.209
Pm 2.585 0.000 2.620
Pm 2.585 0.000 7.764
Pm 2.585 0.000 12.914
Pm 2.585 0.000 18.065
Pm 2.585 0.000 23.209
Pm 2.585 2.585 0.000
Pm 2.585 2.585 5.201
Pm 2.585 2.585 10.337
Pm 2.585 2.585 15.491
Pm 2.585 2.585 20.627
Sm 0.000 0.000 5.183
Sm 0.000 0.000 10.339
Sm 0.000 0.000 15.489
Sm 0.000 0.000 20.646
```

Values from the calculation:
Space group   No. 123
Calculated total energy   -4.7374 eV/atom
Formation enthalpy at 0 K   0.02 eV per atom
Total moment   0.0 Bohr magnetons per cell
N(E_F)   29.66 states/eV/cell
V   690.49 Å³/cell


No. 4
Material: LaPmSm4
Method: DFT, PBE
State: optimized geometry

```
12
Lattice="3.468 -6.191 0.000 3.468 6.191 0.000 0.000 0.000 9.766" Properties=species:S:1:pos:R:3 pbc="T T T"
La 3.468 3.948 7.325
La 3.468 -3.948 2.442
Pm 0.000 0.000 0.000
Pm 0.000 0.000 4.883
Sm 1.826 1.271 7.325
Sm 3.468 1.912 0.718
Sm 3.468 1.912 4.165
Sm 1.826 -1.271 2.442
Sm 5.110 1.271 7.325
Sm 3.468 -1.912 5.601
Sm 3.468 -1.912 9.048
Sm 5.110 -1.271 2.442
```

Values from the calculation:
Space group   No. 63
Calculated total energy   -4.5434 eV/atom
Formation enthalpy at 0 K   0.22 eV per atom
Total moment   0.0 Bohr magnetons per cell
Energy above the lowest structure with this stoichiometry   1.19 eV/f.u.
N(E_F)   17.47 states/eV/cell
V   419.33 Å³/cell


No. 5
Material: LaPmSm2
Method: DFT, PBE
State: optimized geometry

```
4
Lattice="5.186 0.000 0.000 0.000 5.186 0.000 0.000 0.000 5.171" Properties=species:S:1:pos:R:3 pbc="T T T"
La 0.000 0.000 0.000
Pm 2.593 2.593 0.000
Sm 0.000 2.593 2.586
Sm 2.593 0.000 2.586
```

Values from the calculation:
Space group   No. 123
Calculated total energy   -4.7604 eV/atom
Formation enthalpy at 0 K   0.02 eV per atom
Total moment   0.0 Bohr magnetons per cell
Energy above the lowest structure with this stoichiometry   0.02 eV/f.u.
N(E_F)   7.26 states/eV/cell
V   139.09 Å³/cell


No. 6
Material: La8PmSm3
Method: DFT, PBE
State: optimized geometry

```
12
Lattice="-3.422 5.669 5.908 3.422 -5.669 5.908 3.422 5.669 -5.908" Properties=species:S:1:pos:R:3 pbc="T T T"
La 3.422 3.792 -2.961
La 1.527 3.101 0.000
La 1.896 -2.567 5.908
La 0.000 1.876 2.946
La 3.422 3.792 2.961
La 1.527 8.236 0.000
La 1.896 2.567 5.908
La 0.000 1.876 8.869
Pm 0.000 0.000 0.000
Sm 3.422 0.000 3.123
Sm 0.000 0.000 5.908
Sm 0.000 5.669 2.785
```

Values from the calculation:
Space group   No. 71
Calculated total energy   -4.5703 eV/atom
Formation enthalpy at 0 K   0.29 eV per atom
Total moment   0.0 Bohr magnetons per cell
N(E_F)   20.07 states/eV/cell
V   458.43 Å³/cell


No. 7
Material: La5PmSm
Method: DFT, PBE
State: optimized geometry

```
14
Lattice="6.100 -3.520 0.000 6.100 3.520 0.000 -4.852 0.000 11.809" Properties=species:S:1:pos:R:3 pbc="T T T"
La 2.461 2.914 8.857
La -0.965 0.904 8.893
La 0.312 1.880 11.804
La 4.609 1.880 5.909
La 1.461 -0.904 2.989
La 5.886 0.904 8.820
La 2.738 -1.880 5.899
La 7.035 -1.880 0.005
La 8.312 -0.904 2.916
La 4.887 -2.914 2.952
Pm 0.624 1.760 5.904
Pm 3.050 -1.760 0.000
Sm 4.887 0.211 2.952
Sm 2.461 -0.211 8.857
```

Values from the calculation:
Space group   No. 15
Calculated total energy   -4.7458 eV/atom
Formation enthalpy at 0 K   0.13 eV per atom
Total moment   0.0 Bohr magnetons per cell
N(E_F)   20.27 states/eV/cell
V   507.09 Å³/cell


No. 8
Material: La12PmSm5
Method: DFT, PBE
State: optimized geometry

```
18
Lattice="9.612 -5.527 0.000 9.612 5.527 0.000 -2.113 0.000 6.064" Properties=species:S:1:pos:R:3 pbc="T T T"
La 6.055 3.658 1.009
La 4.999 1.871 4.042
La 9.612 3.655 0.000
La 8.556 1.867 3.032
La 11.056 3.658 5.055
La 12.112 1.871 2.023
La 4.999 -1.871 4.042
La 6.055 -3.658 1.009
La 8.556 -1.867 3.032
La 9.612 -3.655 0.000
La 12.112 -1.871 2.023
La 11.056 -3.658 5.055
Pm -1.056 0.000 3.032
Sm 2.502 0.000 2.021
Sm 6.056 0.000 1.010
Sm 9.612 0.000 0.000
Sm 11.055 0.000 5.055
Sm 14.609 0.000 4.044
```

Values from the calculation:
Space group   No. 12
Calculated total energy   -4.8416 eV/atom
Formation enthalpy at 0 K   0.02 eV per atom
Total moment   0.0 Bohr magnetons per cell
N(E_F)   33.44 states/eV/cell
V   644.37 Å³/cell


No. 9
Material: LaPm5Sm3
Method: DFT, PBE
State: optimized geometry

```
18
Lattice="8.250 -4.401 0.000 8.250 4.401 0.000 -7.850 0.000 9.403" Properties=species:S:1:pos:R:3 pbc="T T T"
La -0.408 0.000 3.368
La 9.058 0.000 6.035
Pm 5.075 2.781 1.685
Pm 3.575 2.781 7.718
Pm 8.250 1.629 0.000
Pm 5.516 0.000 0.180
Pm 2.631 0.000 5.513
Pm 6.020 0.000 3.890
Pm 3.135 0.000 9.223
Pm 8.250 -1.629 0.000
Pm 5.075 -2.781 1.685
Pm 3.575 -2.781 7.718
Sm 0.000 0.000 0.000
Sm -3.925 0.000 4.701
Sm 2.698 0.000 1.743
Sm -0.961 0.000 6.591
Sm 9.611 0.000 2.812
Sm 5.953 0.000 7.660
```

Values from the calculation:
Space group   No. 12
Calculated total energy   -4.3362 eV/atom
Formation enthalpy at 0 K   0.42 eV per atom
Total moment   0.0 Bohr magnetons per cell
Energy above the lowest structure with this stoichiometry   1.32 eV/f.u.
N(E_F)   24.82 states/eV/cell
V   682.86 Å³/cell


No. 10
Material: La3Pm2Sm8
Method: DFT, PBE
State: optimized geometry

```
13
Lattice="10.370 -3.889 0.000 10.370 3.889 0.000 -0.015 0.000 5.766" Properties=species:S:1:pos:R:3 pbc="T T T"
La 0.000 0.000 0.000
La 10.362 1.587 2.883
La 10.362 -1.587 2.883
Pm 5.002 0.000 5.740
Pm 15.723 0.000 0.026
Sm 2.801 0.000 2.871
Sm 8.122 1.621 5.763
Sm 6.785 0.000 2.864
Sm 12.602 1.621 0.003
Sm 8.122 -1.621 5.763
Sm 13.940 0.000 2.902
Sm 12.602 -1.621 0.003
Sm 17.923 0.000 2.895
```

Values from the calculation:
Space group   No. 12
Calculated total energy   -4.5461 eV/atom
Formation enthalpy at 0 K   0.23 eV per atom
Total moment   0.0 Bohr magnetons per cell
Energy above the lowest structure with this stoichiometry   2.67 eV/f.u.
N(E_F)   22.43 states/eV/cell
V   465.10 Å³/cell


No. 11
Material: LaPm6Sm8
Method: DFT, PBE
State: optimized geometry

```
15
Lattice="4.707 2.718 6.792 -4.707 2.718 6.792 0.000 -5.436 6.792" Properties=species:S:1:pos:R:3 pbc="T T T"
La 0.000 0.000 0.000
Pm -0.749 -2.001 6.292
Pm -1.358 1.650 6.292
Pm -2.108 -0.352 14.085
Pm 2.108 0.352 6.292
Pm 1.358 -1.650 14.085
Pm 0.749 2.001 14.085
Sm -2.688 -2.196 10.254
Sm -3.246 1.230 10.123
Sm 0.558 -3.426 10.123
Sm 0.000 0.000 8.734
Sm 0.000 0.000 11.643
Sm -0.558 3.426 10.254
Sm 3.246 -1.230 10.254
Sm 2.688 2.196 10.123
```

Values from the calculation:
Space group   No. 148
Calculated total energy   -4.5960 eV/atom
Formation enthalpy at 0 K   0.15 eV per atom
Total moment   0.0 Bohr magnetons per cell
Energy above the lowest structure with this stoichiometry   0.10 eV/f.u.
N(E_F)   23.04 states/eV/cell
V   521.42 Å³/cell


No. 12
Material: La4Pm5Sm
Method: DFT, PBE
State: optimized geometry

```
10
Lattice="8.804 -1.812 0.000 8.804 1.812 0.000 -0.028 0.000 11.478" Properties=species:S:1:pos:R:3 pbc="T T T"
La 0.534 0.000 2.866
La 6.038 0.000 2.877
La 11.542 0.000 8.601
La 17.047 0.000 8.611
Pm 3.048 0.000 0.617
Pm 3.042 0.000 5.107
Pm 8.790 0.000 5.739
Pm 14.538 0.000 6.371
Pm 14.533 0.000 10.861
Sm 8.804 0.000 0.000
```

Values from the calculation:
Space group   No. 12
Calculated total energy   -4.6468 eV/atom
Formation enthalpy at 0 K   0.17 eV per atom
Total moment   0.0 Bohr magnetons per cell
Energy above the lowest structure with this stoichiometry   0.19 eV/f.u.
N(E_F)   16.29 states/eV/cell
V   366.15 Å³/cell


No. 13
Material: La3Pm2Sm7
Method: DFT, PBE
State: optimized geometry

```
12
Lattice="6.506 0.000 0.000 0.000 3.608 0.000 -1.975 0.000 17.906" Properties=species:S:1:pos:R:3 pbc="T T T"
La 0.000 0.000 0.000
La -1.003 1.804 11.838
La 5.534 1.804 6.069
Pm 2.258 0.000 5.880
Pm 2.272 0.000 12.026
Sm 1.163 1.804 2.978
Sm 0.612 0.000 8.947
Sm 0.145 0.000 14.929
Sm 3.253 1.804 0.000
Sm 4.386 0.000 2.978
Sm 3.918 0.000 8.959
Sm 3.367 1.804 14.929
```

Values from the calculation:
Space group   No. 10
Calculated total energy   -4.7013 eV/atom
Formation enthalpy at 0 K   0.08 eV per atom
Total moment   0.0 Bohr magnetons per cell
N(E_F)   19.02 states/eV/cell
V   420.25 Å³/cell


No. 14
Material: LaPm3Sm6
Method: DFT, PBE
State: optimized geometry

```
10
Lattice="5.030 2.904 3.957 -5.030 2.904 3.957 0.000 -5.808 3.957" Properties=species:S:1:pos:R:3 pbc="T T T"
La 0.000 0.000 0.000
Pm 0.000 0.000 2.985
Pm 0.000 0.000 5.936
Pm 0.000 0.000 8.887
Sm -1.644 -2.960 3.957
Sm -3.262 0.000 5.936
Sm -1.742 2.904 3.957
Sm 1.631 -2.825 5.936
Sm 3.386 0.056 3.957
Sm 1.631 2.825 5.936
```

Values from the calculation:
Space group   No. 155
Calculated total energy   -4.5020 eV/atom
Formation enthalpy at 0 K   0.25 eV per atom
Total moment   0.0 Bohr magnetons per cell
Energy above the lowest structure with this stoichiometry   1.08 eV/f.u.
N(E_F)   20.88 states/eV/cell
V   346.88 Å³/cell


No. 15
Material: La4Pm2Sm3
Method: DFT, PBE
State: optimized geometry

```
9
Lattice="5.803 -2.616 0.000 5.803 2.616 0.000 -3.408 0.000 10.525" Properties=species:S:1:pos:R:3 pbc="T T T"
La 11.034 0.000 1.766
La -2.836 0.000 8.759
La 1.788 0.000 6.433
La 6.410 0.000 4.092
Pm 2.906 0.000 2.899
Pm 5.292 0.000 7.626
Sm -1.704 0.000 5.263
Sm 0.657 0.000 9.965
Sm 7.541 0.000 0.560
```

Values from the calculation:
Space group   No. 12
Calculated total energy   -4.7954 eV/atom
Formation enthalpy at 0 K   0.02 eV per atom
Total moment   0.0 Bohr magnetons per cell
Energy above the lowest structure with this stoichiometry   0.05 eV/f.u.
N(E_F)   17.02 states/eV/cell
V   319.54 Å³/cell


No. 16
Material: La4Pm5Sm
Method: DFT, PBE
State: optimized geometry

```
20
Lattice="10.716 0.000 0.000 0.000 10.716 0.000 0.000 0.000 6.083" Properties=species:S:1:pos:R:3 pbc="T T T"
La 0.519 8.037 0.794
La 2.679 5.877 5.289
La 2.679 10.197 5.289
La 4.839 8.037 0.794
La 5.877 2.679 5.289
La 8.037 0.519 0.794
La 8.037 4.839 0.794
La 10.197 2.679 5.289
Pm 0.963 0.963 2.098
Pm 0.963 4.395 2.098
Pm 2.679 8.037 3.042
Pm 4.395 0.963 2.098
Pm 4.395 4.395 2.098
Pm 6.321 6.321 3.985
Pm 6.321 9.753 3.985
Pm 8.037 2.679 3.042
Pm 9.753 6.321 3.985
Pm 9.753 9.753 3.985
Sm 2.679 2.679 5.123
Sm 8.037 8.037 0.960
```

Values from the calculation:
Space group   No. 129
Calculated total energy   -4.6661 eV/atom
Formation enthalpy at 0 K   0.15 eV per atom
Total moment   0.0 Bohr magnetons per cell
Energy above the lowest structure with this stoichiometry   0.00 eV/f.u.
N(E_F)   25.05 states/eV/cell
V   698.58 Å³/cell


No. 17
Material: LaPm4Sm
Method: DFT, PBE
State: optimized geometry

```
6
Lattice="0.000 4.757 4.757 4.757 0.000 4.757 4.757 4.757 0.000" Properties=species:S:1:pos:R:3 pbc="T T T"
La 0.000 0.000 0.000
Pm 5.940 3.573 3.573
Pm 3.573 5.940 3.573
Pm 3.573 3.573 5.940
Pm 5.940 5.940 5.940
Sm 2.378 2.378 2.378
```

Values from the calculation:
Space group   No. 216
Calculated total energy   -4.5279 eV/atom
Formation enthalpy at 0 K   0.25 eV per atom
Total moment   0.0 Bohr magnetons per cell
Energy above the lowest structure with this stoichiometry   1.38 eV/f.u.
N(E_F)   11.28 states/eV/cell
V   215.26 Å³/cell


No. 18
Material: La4Pm5Sm2
Method: DFT, PBE
State: optimized geometry

```
11
Lattice="9.051 -1.801 0.000 9.051 1.801 0.000 -0.932 0.000 11.926" Properties=species:S:1:pos:R:3 pbc="T T T"
La 0.437 0.000 3.133
La 6.309 0.000 2.419
La 10.861 0.000 9.506
La 16.733 0.000 8.793
Pm 1.237 0.000 6.442
Pm 3.161 0.000 0.861
Pm 9.051 0.000 0.000
Pm 14.009 0.000 11.065
Pm 15.933 0.000 5.484
Sm 4.546 0.000 7.643
Sm 12.624 0.000 4.283
```

Values from the calculation:
Space group   No. 12
Calculated total energy   -4.7366 eV/atom
Formation enthalpy at 0 K   0.07 eV per atom
Total moment   0.0 Bohr magnetons per cell
Energy above the lowest structure with this stoichiometry   0.00 eV/f.u.
N(E_F)   17.63 states/eV/cell
V   388.90 Å³/cell


No. 19
Material: LaPm5Sm5
Method: DFT, PBE
State: optimized geometry

```
11
Lattice="6.241 0.000 0.000 -3.120 5.404 0.000 0.000 0.000 11.682" Properties=species:S:1:pos:R:3 pbc="T T T"
La 0.000 0.000 0.000
Pm 0.000 0.000 3.842
Pm 0.000 0.000 7.840
Pm 0.000 3.603 1.874
Pm 0.000 3.603 9.807
Pm 3.120 1.801 0.000
Sm -1.539 2.714 5.841
Sm 1.539 2.714 5.841
Sm 0.000 5.381 5.841
Sm 3.120 1.801 3.102
Sm 3.120 1.801 8.580
```

Values from the calculation:
Space group   No. 187
Calculated total energy   -4.4703 eV/atom
Formation enthalpy at 0 K   0.28 eV per atom
Total moment   0.0 Bohr magnetons per cell
Energy above the lowest structure with this stoichiometry   2.92 eV/f.u.
N(E_F)   18.28 states/eV/cell
V   393.99 Å³/cell


No. 20
Material: LaPm9Sm2
Method: DFT, PBE
State: optimized geometry

```
12
Lattice="5.167 0.000 0.000 0.000 5.167 0.000 0.000 0.000 15.520" Properties=species:S:1:pos:R:3 pbc="T T T"
La 0.000 0.000 0.000
Pm 0.000 2.584 2.620
Pm 0.000 2.584 7.760
Pm 0.000 2.584 12.899
Pm 2.584 0.000 2.620
Pm 2.584 0.000 7.760
Pm 2.584 0.000 12.899
Pm 2.584 2.584 0.000
Pm 2.584 2.584 5.196
Pm 2.584 2.584 10.323
Sm 0.000 0.000 5.182
Sm 0.000 0.000 10.337
```

Values from the calculation:
Space group   No. 123
Calculated total energy   -4.7439 eV/atom
Formation enthalpy at 0 K   0.02 eV per atom
Total moment   0.0 Bohr magnetons per cell
N(E_F)   19.80 states/eV/cell
V   414.35 Å³/cell